[1]
Below is crystalline Li2Ti2FeO6 at its relaxed geometry, with properties calculated at the GGA-PBEsol level.

Properties
M_tot = 8.0 Bohr magnetons per cell
SG = Cmce, No. 64
Formation energy without anion corrections = -226.9 kJ/mol of atoms

Cell: 5.0496 5.1141 10.3028 Å, 90.00 90.00 119.58°
Closest atoms and distances in Å follow each position.
Atoms (fractional coordinates):
O 0.8615 0.3661 0.8906  2 Li 1.98-2.04, 2 Ti 1.98-1.99, 1 Fe 2.18
O 0.3399 0.0000 0.4017  2 Ti 1.94, 1 Fe 1.99
Ti 0.6624 0.3249 0.5000  6 O 1.94-1.99
Ti 0.1624 0.3249 0.0000  6 O 1.94-1.99
O 0.4955 0.6339 0.8906  2 Li 1.98-2.04, 2 Ti 1.98-1.99, 1 Fe 2.18
Li 0.3309 0.5000 0.2500  4 O 1.98-2.04
Li 0.6691 0.5000 0.7500  4 O 1.98-2.04
O 0.0045 0.3661 0.3906  2 Li 1.98-2.04, 2 Ti 1.98-1.99, 1 Fe 2.18
Li 0.1691 0.5000 0.7500  4 O 1.98-2.04
O 0.1601 0.0000 0.9017  2 Ti 1.94, 1 Fe 1.99
Li 0.8309 0.5000 0.2500  4 O 1.98-2.04
O 0.6601 0.0000 0.5983  2 Ti 1.94, 1 Fe 1.99
O 0.9955 0.6339 0.6093  2 Li 1.98-2.04, 2 Ti 1.98-1.99, 1 Fe 2.18
Ti 0.8376 0.6751 0.0000  6 O 1.94-1.99
Fe 0.0000 0.0000 0.5000  6 O 1.99-2.18
O 0.6385 0.6339 0.3906  2 Li 1.98-2.04, 2 Ti 1.98-1.99, 1 Fe 2.18
Fe 0.5000 0.0000 0.0000  6 O 1.99-2.18
O 0.5045 0.3661 0.1094  2 Li 1.98-2.04, 2 Ti 1.98-1.99, 1 Fe 2.18
O 0.8399 0.0000 0.0983  2 Ti 1.94, 1 Fe 1.99
O 0.1385 0.6339 0.1094  2 Li 1.98-2.04, 2 Ti 1.98-1.99, 1 Fe 2.18
Ti 0.3376 0.6751 0.5000  6 O 1.94-1.99
O 0.3615 0.3661 0.6093  2 Li 1.98-2.04, 2 Ti 1.98-1.99, 1 Fe 2.18

[2]
Below is crystalline Li2Ti3FeO8 at its relaxed geometry, with properties calculated at the GGA-PBEsol level.

Properties
M_tot = 8.0 Bohr magnetons per cell
SG = P6_3mc, No. 186
Formation energy without anion corrections = -245.6 kJ/mol of atoms

Cell: 5.8634 5.8634 9.5548 Å, 90.00 90.00 120.00°
Closest atoms and distances in Å follow each position.
Atoms (fractional coordinates):
O 0.4823 0.5177 0.6670  2 Ti 1.95, 1 Li 1.96, 1 Fe 2.14
O 0.6780 0.8390 0.3969  1 Li 1.92, 2 Ti 1.99, 1 Fe 2.05
Li 0.0000 0.0000 0.5018  4 O 1.75-1.92
O 0.6667 0.3333 0.3962  3 Ti 1.98, 1 Li 2.01
Fe 0.6667 0.3333 0.0080  6 O 2.05-2.14
Ti 0.1690 0.8310 0.7845  6 O 1.95-1.99
O 0.3220 0.1610 0.8969  1 Li 1.92, 2 Ti 1.99, 1 Fe 2.05
Ti 0.6620 0.8310 0.7845  6 O 1.95-1.99
O 0.5177 0.4823 0.1670  2 Ti 1.95, 1 Li 1.96, 1 Fe 2.14
Ti 0.3380 0.1690 0.2845  6 O 1.95-1.99
Ti 0.8310 0.6620 0.2845  6 O 1.95-1.99
O 0.0000 0.0000 0.1853  1 Li 1.75, 3 Ti 1.96
O 0.9646 0.4823 0.1670  2 Ti 1.95, 1 Li 1.96, 1 Fe 2.14
O 0.0354 0.5177 0.6670  2 Ti 1.95, 1 Li 1.96, 1 Fe 2.14
Ti 0.1690 0.3380 0.7845  6 O 1.95-1.99
O 0.3333 0.6667 0.8962  3 Ti 1.98, 1 Li 2.01
O 0.1610 0.3220 0.3969  1 Li 1.92, 2 Ti 1.99, 1 Fe 2.05
Ti 0.8310 0.1690 0.2845  6 O 1.95-1.99
O 0.8390 0.6780 0.8969  1 Li 1.92, 2 Ti 1.99, 1 Fe 2.05
Li 0.6667 0.3333 0.6065  4 O 1.96-2.01
Fe 0.3333 0.6667 0.5080  6 O 2.05-2.14
Li 0.3333 0.6667 0.1065  4 O 1.96-2.01
O 0.5177 0.0354 0.1670  2 Ti 1.95, 1 Li 1.96, 1 Fe 2.14
Li 0.0000 0.0000 0.0018  4 O 1.75-1.92
O 0.1610 0.8390 0.3969  1 Li 1.92, 2 Ti 1.99, 1 Fe 2.05
O 0.4823 0.9646 0.6670  2 Ti 1.95, 1 Li 1.96, 1 Fe 2.14
O 0.0000 0.0000 0.6853  1 Li 1.75, 3 Ti 1.96
O 0.8390 0.1610 0.8969  1 Li 1.92, 2 Ti 1.99, 1 Fe 2.05